Entry 1:
Material: TaCrW2
Method: DFT, meta-GGA SCAN
State: PBEsol geometry

Summary:
total moment: 0.00 μB/atom
calculated total energy: -668.0 eV/cell
E above lowest polymorph: 460 meV per atom
SG: R-3m
formation energy: 0.421 eV/atom

Cell and atoms, written as POSCAR:
```
TaCrW2
1.0
2.9002 0.0000 0.0000
-1.4501 2.5116 0.0000
0.0000 0.0000 25.5169
Ta Cr W
3 3 6
Cartesian
0.0000 0.0000 0.0000
0.0000 1.6744 17.0113
1.4501 0.8372 8.5056
0.0000 0.0000 12.7585
0.0000 1.6744 4.2528
1.4501 0.8372 21.2641
0.0000 0.0000 6.1806
0.0000 0.0000 19.3364
0.0000 1.6744 10.8307
0.0000 1.6744 23.1919
1.4501 0.8372 2.3251
1.4501 0.8372 14.6862
```

---

Entry 2:
Material: Hf2MoPt
Method: DFT, meta-GGA SCAN
State: PBEsol geometry

Summary:
total moment: 0.00 μB/atom
calculated total energy: -934.8 eV/cell
SG: Fm-3m
formation energy: -0.816 eV/atom

Cell and atoms, written as POSCAR:
```
Hf2MoPt
1.0
6.5166 0.0000 0.0000
0.0000 6.5166 0.0000
0.0000 0.0000 6.5166
Hf Mo Pt
8 4 4
Cartesian
1.6292 1.6292 1.6292
1.6292 1.6292 4.8875
1.6292 4.8875 1.6292
1.6292 4.8875 4.8875
4.8875 1.6292 1.6292
4.8875 1.6292 4.8875
4.8875 4.8875 1.6292
4.8875 4.8875 4.8875
0.0000 0.0000 0.0000
0.0000 3.2583 3.2583
3.2583 0.0000 3.2583
3.2583 3.2583 0.0000
0.0000 0.0000 3.2583
0.0000 3.2583 0.0000
3.2583 0.0000 0.0000
3.2583 3.2583 3.2583
```

---

Entry 3:
Material: SrIN2F
Method: DFT, meta-GGA SCAN
State: PBEsol geometry

Summary:
total moment: 0.00 μB/atom
calculated total energy: -81.3 eV/cell
E above lowest polymorph: 0 meV per atom
SG: P4/mmm
formation energy (no corrections): -26 meV per atom

Cell and atoms, written as POSCAR:
```
SrIN2F
1.0
4.1520 0.0000 0.0000
0.0000 4.1520 0.0000
0.0000 0.0000 4.6174
Sr I N F
1 1 2 1
Cartesian
0.0000 0.0000 0.0000
2.0760 2.0760 2.3087
0.0000 2.0760 2.3087
2.0760 0.0000 2.3087
2.0760 2.0760 0.0000
```

---

Entry 4:
Material: KAsPt2
Method: DFT, meta-GGA SCAN
State: PBEsol geometry

Summary:
total moment: 0.00 μB/atom
calculated total energy: -341.1 eV/cell
SG: Cm
formation energy: -0.405 eV/atom

Cell and atoms, written as POSCAR:
```
KAsPt2
1.0
9.5899 0.0000 0.0000
0.0000 3.5018 0.0000
-2.2042 0.0000 5.6613
K As Pt
2 2 4
Cartesian
0.0000 0.0000 0.0000
4.7949 1.7509 0.0000
2.1957 1.7509 2.1611
6.9906 0.0000 2.1611
-1.1518 1.7509 3.0353
0.8786 0.0000 3.1852
3.6431 0.0000 3.0353
5.6735 1.7509 3.1852
```

---

Entry 5:
Material: Be2GeF
Method: DFT, meta-GGA SCAN
State: PBEsol geometry

Summary:
total moment: 0.00 μB/atom
calculated total energy: -132.9 eV/cell
SG: I-42d
formation energy (no corrections): -472 meV per atom

Cell and atoms, written as POSCAR:
```
Be2GeF
1.0
4.3412 0.0000 0.0000
0.0000 4.3412 0.0000
0.0000 0.0000 10.1672
Be Ge F
8 4 4
Cartesian
0.5278 1.0853 1.2709
1.0853 2.6984 3.8127
1.0853 3.8134 8.8963
1.6428 1.0853 6.3545
2.6984 3.2559 6.3545
3.2559 0.5278 8.8963
3.2559 1.6428 3.8127
3.8134 3.2559 1.2709
0.0000 0.0000 5.0836
0.0000 2.1706 7.6254
2.1706 0.0000 2.5418
2.1706 2.1706 0.0000
0.0000 0.0000 0.0000
0.0000 2.1706 2.5418
2.1706 0.0000 7.6254
2.1706 2.1706 5.0836
```

---

Entry 6:
Material: InHgRh2
Method: DFT, meta-GGA SCAN
State: PBEsol geometry

Summary:
total moment: 0.00 μB/atom
calculated total energy: -169.8 eV/cell
SG: P4/mmm
formation energy: -0.175 eV/atom

Cell and atoms, written as POSCAR:
```
InHgRh2
1.0
3.1810 0.0000 0.0000
0.0000 3.1810 0.0000
0.0000 0.0000 6.4299
In Hg Rh
1 1 2
Cartesian
0.0000 0.0000 0.0000
0.0000 0.0000 3.2149
1.5905 1.5905 1.5464
1.5905 1.5905 4.8835
```

---

Entry 7:
Material: CaCoSi
Method: DFT, meta-GGA SCAN
State: PBEsol geometry

Summary:
total moment: 0.00 μB/atom
calculated total energy: -37.6 eV/cell
SG: P-6m2
formation energy (no corrections): -220 meV per atom

Cell and atoms, written as POSCAR:
```
CaCoSi
1.0
3.8444 0.0000 0.0000
-1.9222 3.3293 0.0000
0.0000 0.0000 4.3452
Ca Co Si
1 1 1
Cartesian
0.0000 0.0000 0.0000
0.0000 2.2196 2.1726
1.9222 1.1098 2.1726
```

---

Entry 8:
Material: ZrBe2Cl
Method: DFT, meta-GGA SCAN
State: PBEsol geometry

Summary:
total moment: 0.00 μB/atom
calculated total energy: -97.6 eV/cell
E above lowest polymorph: 0 meV per atom
SG: Cm
formation energy (no corrections): -357 meV per atom

Cell and atoms, written as POSCAR:
```
ZrBe2Cl
1.0
6.5477 0.0000 0.0000
0.0000 3.3255 0.0000
-0.1191 0.0000 5.7850
Zr Be Cl
2 4 2
Cartesian
0.0000 0.0000 0.0000
3.2738 1.6627 0.0000
0.9850 1.6627 4.3243
2.2107 0.0000 3.9600
4.2588 0.0000 4.3243
5.4846 1.6627 3.9600
2.1240 0.0000 1.7445
5.3979 1.6627 1.7445
```

---

Entry 9:
Material: ZrW2Cl
Method: DFT, meta-GGA SCAN
State: PBEsol geometry

Summary:
total moment: 0.00 μB/atom
calculated total energy: -349.1 eV/cell
E above lowest polymorph: 866 meV per atom
SG: I-4m2
formation energy (no corrections): 878 meV per atom

Cell and atoms, written as POSCAR:
```
ZrW2Cl
1.0
4.3938 0.0000 0.0000
0.0000 4.3938 0.0000
0.0000 0.0000 7.0174
Zr W Cl
2 4 2
Cartesian
0.0000 0.0000 0.0000
2.1969 2.1969 3.5087
0.0000 0.0000 3.5087
0.0000 2.1969 5.2630
2.1969 0.0000 1.7543
2.1969 2.1969 0.0000
0.0000 2.1969 1.7543
2.1969 0.0000 5.2630
```

---

Entry 10:
Material: CdH5Br3N2
Method: DFT, meta-GGA SCAN
State: PBEsol geometry

Summary:
total moment: 0.00 μB/atom
calculated total energy: -521.5 eV/cell
SG: P2_1/c

Cell and atoms, written as POSCAR:
```
CdH5Br3N2
1.0
3.8414 0.0000 0.0000
0.0000 18.5386 0.0000
-0.5718 0.0000 9.5463
Cd H Br N
4 20 12 8
Cartesian
0.6433 1.2825 3.3825
0.3574 7.9868 8.1556
2.9122 10.5518 1.3906
2.6263 17.2560 6.1638
-0.2019 10.9164 4.9721
0.0840 16.8914 0.1990
-0.2025 11.5104 6.5245
0.0834 16.2974 1.7513
0.4981 12.9354 4.1453
0.2122 14.8724 8.9184
0.5157 13.5728 5.7223
0.8016 14.2351 0.9492
1.3191 3.0825 9.0282
1.6049 6.1868 4.2551
1.6647 12.3518 5.2912
1.9506 15.4561 0.5181
2.4680 4.3035 8.5971
2.7539 4.9658 3.8240
3.0575 3.6661 0.6278
2.7716 5.6032 5.4010
3.1863 2.2412 7.7949
3.4722 7.0281 3.0218
3.1857 1.6471 9.3473
3.4716 7.6222 4.5742
0.5949 3.8246 2.4993
0.3090 5.4447 7.2724
0.4125 10.8705 8.9931
0.6984 16.9374 4.2200
0.9825 9.7321 3.1368
0.6967 18.0757 7.9100
2.5730 0.4628 1.6363
2.2871 8.8065 6.4094
2.5712 1.6012 5.3263
2.8571 7.6681 0.5532
2.9607 13.0939 2.2738
2.6748 14.7139 7.0470
-0.4903 2.4997 8.7825
-0.2044 6.7695 4.0093
0.6618 12.7007 5.1581
0.9477 15.1071 0.3850
2.3219 3.4314 9.1613
2.6078 5.8378 4.3882
3.4741 11.7690 5.5369
3.7600 16.0388 0.7638
```

---

Entry 11:
Material: La2ReMo
Method: DFT, meta-GGA SCAN
State: PBEsol geometry

Summary:
total moment: 0.00 μB/atom
calculated total energy: -378.0 eV/cell
E above lowest polymorph: 6 meV per atom
SG: C2/m
formation energy: 0.799 eV/atom

Cell and atoms, written as POSCAR:
```
La2ReMo
1.0
6.1336 0.0000 0.0000
0.0000 9.4768 0.0000
-1.2651 0.0000 2.7954
La Re Mo
4 2 2
Cartesian
1.5334 2.3692 0.0000
1.5334 7.1076 0.0000
4.6002 2.3692 0.0000
4.6002 7.1076 0.0000
-0.6325 0.0000 1.3977
2.4343 4.7384 1.3977
-0.6325 4.7384 1.3977
2.4343 0.0000 1.3977
```

---

Entry 12:
Material: Sr2FeOs
Method: DFT, meta-GGA SCAN
State: PBEsol geometry

Summary:
total moment: 0.57 μB/atom
calculated total energy: -265.6 eV/cell
E above lowest polymorph: 0 meV per atom
SG: Amm2
formation energy: 0.438 eV/atom

Cell and atoms, written as POSCAR:
```
Sr2FeOs
1.0
3.9668 0.0000 0.0000
0.0000 4.7728 0.0000
0.0000 0.0000 10.8943
Sr Fe Os
4 2 2
Cartesian
0.0000 0.0000 0.0000
0.0000 2.3864 5.4471
1.9834 0.0000 3.0796
1.9834 2.3864 8.5267
0.0000 0.0000 7.4730
0.0000 2.3864 2.0258
1.9834 0.0000 6.4655
1.9834 2.3864 1.0183
```

---

Entry 13:
Material: AlPbSe3
Method: DFT, meta-GGA SCAN
State: PBEsol geometry

Summary:
total moment: 0.00 μB/atom
calculated total energy: -145.5 eV/cell
SG: Pm-3m
formation energy (no corrections): -344 meV per atom

Cell and atoms, written as POSCAR:
```
AlPbSe3
1.0
4.8929 0.0000 0.0000
0.0000 4.8929 0.0000
0.0000 0.0000 4.8929
Al Pb Se
1 1 3
Cartesian
0.0000 0.0000 0.0000
2.4464 2.4464 2.4464
0.0000 0.0000 2.4464
0.0000 2.4464 0.0000
2.4464 0.0000 0.0000
```

---

Entry 14:
Material: GaHgH2
Method: DFT, meta-GGA SCAN
State: PBEsol geometry

Summary:
total moment: 0.00 μB/atom
calculated total energy: -181.0 eV/cell
SG: Fd-3m

Cell and atoms, written as POSCAR:
```
GaHgH2
1.0
0.0000 4.0042 4.0042
4.0042 0.0000 4.0042
4.0042 4.0042 0.0000
Ga Hg H
2 2 4
Cartesian
1.0011 1.0011 1.0011
7.0074 7.0074 7.0074
3.0032 3.0032 3.0032
5.0053 5.0053 5.0053
0.0000 0.0000 0.0000
2.0021 2.0021 0.0000
2.0021 0.0000 2.0021
0.0000 2.0021 2.0021
```

---

Entry 15:
Material: Li3CrFe2O6
Method: DFT, meta-GGA SCAN
State: PBEsol geometry

Summary:
total moment: 0.42 μB/atom
calculated total energy: -124.3 eV/cell
SG: C2/m
formation energy (no corrections): -2091 meV per atom

Cell and atoms, written as POSCAR:
```
Li3CrFe2O6
1.0
6.1954 -1.4361 0.0000
6.1954 1.4361 0.0000
-1.5086 0.0000 5.4780
Li Cr Fe O
3 1 2 6
Cartesian
0.0000 0.0000 0.0000
3.1210 0.0000 3.6235
7.7613 0.0000 1.8545
-0.7543 0.0000 2.7390
3.8291 0.0000 0.8364
7.0532 0.0000 4.6416
1.1126 0.0000 3.3542
1.9912 0.0000 0.3977
5.6991 0.0000 1.4170
5.1831 0.0000 4.0610
8.8910 0.0000 5.0803
9.7696 0.0000 2.1238
```

---

Entry 16:
Material: KRhAu
Method: DFT, meta-GGA SCAN
State: PBEsol geometry

Summary:
total moment: 0.00 μB/atom
calculated total energy: -221.3 eV/cell
SG: I4mm
formation energy: 0.200 eV/atom

Cell and atoms, written as POSCAR:
```
KRhAu
1.0
3.5164 0.0000 0.0000
0.0000 3.5164 0.0000
0.0000 0.0000 11.3365
K Rh Au
2 2 2
Cartesian
0.0000 0.0000 0.0000
1.7582 1.7582 5.6682
0.0000 0.0000 3.1375
1.7582 1.7582 8.8057
0.0000 0.0000 8.1328
1.7582 1.7582 2.4646
```

---

Entry 17:
Material: Ni4Au3
Method: DFT, meta-GGA SCAN
State: PBEsol geometry

Summary:
total moment: 0.41 μB/atom
calculated total energy: -543.2 eV/cell
SG: I4/mmm
formation energy: 0.081 eV/atom

Cell and atoms, written as POSCAR:
```
Ni4Au3
1.0
2.7876 0.0000 0.0000
0.0000 2.7876 0.0000
0.0000 0.0000 23.8457
Ni Au
8 6
Cartesian
0.0000 0.0000 1.7734
0.0000 0.0000 8.8134
0.0000 0.0000 15.0322
0.0000 0.0000 22.0723
1.3938 1.3938 3.1094
1.3938 1.3938 10.1494
1.3938 1.3938 13.6962
1.3938 1.3938 20.7363
0.0000 0.0000 4.8796
0.0000 0.0000 11.9228
0.0000 0.0000 18.9660
1.3938 1.3938 0.0000
1.3938 1.3938 7.0432
1.3938 1.3938 16.8025
```

---

Entry 18:
Material: FeAsSe2
Method: DFT, meta-GGA SCAN
State: PBEsol geometry

Summary:
total moment: 0.27 μB/atom
calculated total energy: -234.6 eV/cell
SG: R-3m
formation energy (no corrections): 67 meV per atom

Cell and atoms, written as POSCAR:
```
FeAsSe2
1.0
3.3308 0.0000 0.0000
-1.6654 2.8845 0.0000
0.0000 0.0000 23.9791
Fe As Se
3 3 6
Cartesian
0.0000 0.0000 0.0000
0.0000 1.9230 15.9861
1.6654 0.9615 7.9930
0.0000 0.0000 11.9896
0.0000 1.9230 3.9965
1.6654 0.9615 19.9826
0.0000 0.0000 9.3251
0.0000 0.0000 14.6541
0.0000 1.9230 1.3320
0.0000 1.9230 6.6610
1.6654 0.9615 17.3181
1.6654 0.9615 22.6471
```

---

Entry 19:
Material: Ir2W
Method: DFT, meta-GGA SCAN
State: PBEsol geometry

Summary:
total moment: 0.00 μB/atom
calculated total energy: -852.5 eV/cell
SG: Pnma
formation energy: -0.412 eV/atom

Cell and atoms, written as POSCAR:
```
Ir2W
1.0
4.7814 0.0000 0.0000
0.0000 4.3684 0.0000
0.0000 0.0000 8.3157
Ir W
8 4
Cartesian
0.7560 1.0921 1.4266
0.7976 1.0921 4.2074
1.5931 3.2763 0.0495
1.6347 3.2763 5.5844
3.1467 1.0921 2.7313
3.1883 1.0921 8.2661
3.9838 3.2763 4.1083
4.0254 3.2763 6.8891
0.8133 1.0921 7.0035
1.5775 3.2763 2.8457
3.2040 1.0921 5.4700
3.9682 3.2763 1.3121
```

---

Entry 20:
Material: CsBaO2
Method: DFT, meta-GGA SCAN
State: PBEsol geometry

Summary:
total moment: 0.25 μB/atom
calculated total energy: -385.7 eV/cell
SG: I-42d
formation energy (no corrections): -1651 meV per atom

Cell and atoms, written as POSCAR:
```
CsBaO2
1.0
7.0242 0.0000 0.0000
0.0000 7.0242 0.0000
0.0000 0.0000 8.7418
Cs Ba O
4 4 8
Cartesian
0.0000 0.0000 0.0000
0.0000 3.5121 2.1855
3.5121 0.0000 6.5564
3.5121 3.5121 4.3709
0.0000 0.0000 4.3709
0.0000 3.5121 6.5564
3.5121 0.0000 2.1855
3.5121 3.5121 0.0000
1.3548 5.2681 5.4637
1.7560 1.3548 3.2782
1.7560 2.1573 7.6491
2.1573 5.2681 1.0927
4.8669 1.7560 1.0927
5.2681 4.8669 7.6491
5.2681 5.6694 3.2782
5.6694 1.7560 5.4637
```